No. 1
Computed, not measured: Cs3Tl2Hg4 after structural relaxation at the GGA-PBE level of DFT.

Geometry as CIF:
```
data_Cs3Tl2Hg4
_space_group_name_H-M_alt 'C 1 2/c 1'
_space_group_IT_number 15
_cell_length_a 15.307
_cell_length_b 12.733
_cell_length_c 8.796
_cell_angle_alpha 90.00
_cell_angle_beta 104.58
_cell_angle_gamma 90.00
loop_
_space_group_symop_operation_xyz
'x,y,z'
'-x,-y,-z'
'-x,y,-z+1/2'
'x,-y,z+1/2'
'x+1/2,y+1/2,z'
'-x+1/2,-y+1/2,-z'
'-x+1/2,y+1/2,-z+1/2'
'x+1/2,-y+1/2,z+1/2'
loop_
_atom_site_label
_atom_site_fract_x
_atom_site_fract_y
_atom_site_fract_z
_atom_site_occupancy
Cs1 0.000 0.078 0.250 1
Cs2 0.119 0.362 0.600 1
Tl1 0.173 0.158 0.946 1
Hg1 0.126 0.333 0.165 1
Hg2 0.202 0.050 0.639 1
```

Calculated values
- Density: 6.4 g cm⁻³
- DFT formation energy: -0.162 eV/atom
- Uncorrected energy: -1.11 eV per atom
- E above lowest polymorph: 27 meV per atom

---

No. 2
Computed, not measured: Pr2AlZn3 after structural relaxation at the GGA-PBE level of DFT.

Geometry as CIF:
```
data_Pr2AlZn3
_space_group_name_H-M_alt 'I m m 2'
_space_group_IT_number 44
_cell_length_a 4.028
_cell_length_b 4.436
_cell_length_c 15.719
_cell_angle_alpha 90.00
_cell_angle_beta 90.00
_cell_angle_gamma 90.00
loop_
_space_group_symop_operation_xyz
'x,y,z'
'-x,-y,z'
'-x,y,z'
'x,-y,z'
'x+1/2,y+1/2,z+1/2'
'-x+1/2,-y+1/2,z+1/2'
'-x+1/2,y+1/2,z+1/2'
'x+1/2,-y+1/2,z+1/2'
loop_
_atom_site_label
_atom_site_fract_x
_atom_site_fract_y
_atom_site_fract_z
_atom_site_occupancy
Pr1 0.000 0.000 0.000 1
Pr2 0.000 0.500 0.251 1
Al1 0.000 0.000 0.585 1
Zn1 0.000 0.000 0.420 1
Zn2 0.000 0.500 0.665 1
Zn3 0.000 0.500 0.828 1
```

Calculated values
- Density: 6.0 g cm⁻³
- DFT formation energy: -0.335 eV/atom
- Uncorrected energy: -3.19 eV per atom
- E above lowest polymorph: 36 meV per atom

---

No. 3
Computed, not measured: Dy7Er2Sc2 after structural relaxation at the GGA-PBE level of DFT.

Geometry as CIF:
```
data_Dy7Er2Sc2
_space_group_name_H-M_alt 'C m m m'
_space_group_IT_number 65
_space_group_name_Hall '-C 2 2'
_cell_length_a 6.480
_cell_length_b 11.635
_cell_length_c 9.349
_cell_angle_alpha 90.00
_cell_angle_beta 90.00
_cell_angle_gamma 90.00
loop_
_atom_site_label
_atom_site_fract_x
_atom_site_fract_y
_atom_site_fract_z
_atom_site_occupancy
Dy1 0.000 0.000 0.000 1
Dy2 0.000 0.500 0.182 1
Dy3 0.250 0.250 0.307 1
Er1 0.250 0.000 0.500 1
Sc1 0.000 0.271 0.000 1
```

Calculated values
- Density: 7.4 g cm⁻³
- DFT formation energy: 0.356 eV/atom
- Uncorrected energy: -4.55 eV per atom
- E above lowest polymorph: 189 meV per atom